! HoEr4Mg2 PBE optimized geometry; values from VASP
&SYSTEM
  ibrav = 0, nat = 7, ntyp = 3
/
ATOMIC_SPECIES
Ho 164.93 Ho.upf
Er 167.26 Er.upf
Mg 24.30 Mg.upf
CELL_PARAMETERS angstrom
1.7396 -17.2004 0.0000
1.7396 17.2004 0.0000
0.0000 0.0000 3.4338
ATOMIC_POSITIONS crystal
Ho 0.0000 0.0000 0.0000
Er 0.1458 0.8542 0.0000
Er 0.4262 0.5738 0.5000
Er 0.5738 0.4262 0.5000
Er 0.8542 0.1458 0.0000
Mg 0.2871 0.7129 0.5000
Mg 0.7129 0.2871 0.5000
! formation energy	0.035	eV/atom
! mass density	7132	kg/m³

---

! HoEr2Mg2 PBE optimized geometry; values from VASP
&SYSTEM
  ibrav = 0, nat = 10, ntyp = 3
/
ATOMIC_SPECIES
Ho 164.93 Ho.upf
Er 167.26 Er.upf
Mg 24.30 Mg.upf
CELL_PARAMETERS angstrom
1.7047 -5.6929 0.0000
1.7047 5.6929 0.0000
0.0000 0.0000 14.7845
ATOMIC_POSITIONS crystal
Ho 0.1629 0.8371 0.5000
Ho 0.8371 0.1629 0.0000
Er 0.1123 0.8877 0.8912
Er 0.4314 0.5686 0.5914
Er 0.5686 0.4314 0.0914
Er 0.8877 0.1123 0.3912
Mg 0.3089 0.6911 0.1974
Mg 0.3850 0.6150 0.8075
Mg 0.6150 0.3850 0.3075
Mg 0.6911 0.3089 0.6974
! formation energy	0.060	eV/atom
! mass density	6343	kg/m³

---

! Ho5Er6Mg2 PBE optimized geometry; values from VASP
&SYSTEM
  ibrav = 0, nat = 26, ntyp = 3
/
ATOMIC_SPECIES
Ho 164.93 Ho.upf
Er 167.26 Er.upf
Mg 24.30 Mg.upf
CELL_PARAMETERS angstrom
10.2355 0.0000 0.0000
0.0000 22.2459 0.0000
0.0000 0.0000 3.5197
ATOMIC_POSITIONS crystal
Ho 0.0000 0.0000 0.0000
Ho 0.0782 0.2517 0.0000
Ho 0.1662 0.5063 0.0000
Ho 0.3338 0.0063 0.0000
Ho 0.4218 0.7517 0.0000
Ho 0.5000 0.5000 0.0000
Ho 0.5782 0.2483 0.0000
Ho 0.6662 0.9937 0.0000
Ho 0.8338 0.4937 0.0000
Ho 0.9218 0.7483 0.0000
Er 0.0209 0.3875 0.5000
Er 0.1427 0.1183 0.5000
Er 0.1685 0.8658 0.0000
Er 0.3315 0.3658 0.0000
Er 0.3573 0.6183 0.5000
Er 0.4791 0.8875 0.5000
Er 0.5209 0.1125 0.5000
Er 0.6427 0.3817 0.5000
Er 0.6685 0.6342 0.0000
Er 0.8315 0.1342 0.0000
Er 0.8573 0.8817 0.5000
Er 0.9791 0.6125 0.5000
Mg 0.1714 0.7391 0.5000
Mg 0.3286 0.2391 0.5000
Mg 0.6714 0.7609 0.5000
Mg 0.8286 0.2609 0.5000
! formation energy	0.145	eV/atom
! mass density	7778	kg/m³

---

! HoErMg PBE optimized geometry; values from VASP
&SYSTEM
  ibrav = 0, nat = 3, ntyp = 3
/
ATOMIC_SPECIES
Ho 164.93 Ho.upf
Er 167.26 Er.upf
Mg 24.30 Mg.upf
CELL_PARAMETERS angstrom
3.4248 0.0000 0.0000
0.0000 5.3220 0.0000
0.0000 0.0000 5.3366
ATOMIC_POSITIONS crystal
Ho 0.0000 0.0000 0.0000
Er 0.0000 0.5000 0.5000
Mg 0.5000 0.0000 0.5000
! formation energy	0.374	eV/atom
! mass density	6086	kg/m³

---

! Ho3Er5Mg2 PBE optimized geometry; values from VASP
&SYSTEM
  ibrav = 0, nat = 20, ntyp = 3
/
ATOMIC_SPECIES
Ho 164.93 Ho.upf
Er 167.26 Er.upf
Mg 24.30 Mg.upf
CELL_PARAMETERS angstrom
-6.3315 7.8740 3.1300
6.3315 -7.8740 3.1300
6.3315 7.8740 -3.1300
ATOMIC_POSITIONS crystal
Ho 0.2390 0.5970 0.8359
Ho 0.2500 0.2500 0.0000
Ho 0.2610 0.0970 0.3580
Ho 0.7390 0.9030 0.6420
Ho 0.7500 0.7500 0.0000
Ho 0.7610 0.4030 0.1641
Er 0.1598 0.3484 0.5082
Er 0.2500 0.0014 0.7514
Er 0.2500 0.4986 0.2486
Er 0.2500 0.7500 0.5000
Er 0.3402 0.8484 0.1885
Er 0.6598 0.1516 0.8115
Er 0.7500 0.2500 0.5000
Er 0.7500 0.5014 0.7514
Er 0.7500 0.9986 0.2486
Er 0.8402 0.6516 0.4918
Mg 0.1513 0.8629 0.0142
Mg 0.3487 0.3629 0.7116
Mg 0.6513 0.6371 0.2884
Mg 0.8487 0.1371 0.9858
! formation energy	0.330	eV/atom
! mass density	7341	kg/m³

---

! HoErMg PBE optimized geometry; values from VASP
&SYSTEM
  ibrav = 0, nat = 6, ntyp = 3
/
ATOMIC_SPECIES
Ho 164.93 Ho.upf
Er 167.26 Er.upf
Mg 24.30 Mg.upf
CELL_PARAMETERS angstrom
3.4051 0.0000 0.0000
0.0000 5.3612 0.0000
-0.0060 0.0000 9.4077
ATOMIC_POSITIONS crystal
Ho 0.0011 0.0000 0.0850
Ho 0.9989 0.5000 0.9150
Er 0.5001 0.0002 0.7473
Er 0.4999 0.5002 0.2527
Mg 0.0007 0.5016 0.5793
Mg 0.9993 0.0016 0.4207
! formation energy	0.017	eV/atom
! mass density	6894	kg/m³

---

! HoEr4Mg PBE optimized geometry; values from VASP
&SYSTEM
  ibrav = 0, nat = 6, ntyp = 3
/
ATOMIC_SPECIES
Ho 164.93 Ho.upf
Er 167.26 Er.upf
Mg 24.30 Mg.upf
CELL_PARAMETERS angstrom
3.5153 0.0000 0.0000
0.0000 3.5153 0.0000
0.0000 0.0000 14.3160
ATOMIC_POSITIONS crystal
Ho 0.0000 0.0000 0.0000
Er 0.0000 0.0000 0.3441
Er 0.0000 0.0000 0.6559
Er 0.5000 0.5000 0.1740
Er 0.5000 0.5000 0.8260
Mg 0.5000 0.5000 0.5000
! formation energy	-0.009	eV/atom
! mass density	8056	kg/m³

---

! HoEr2Mg4 PBE optimized geometry; values from VASP
&SYSTEM
  ibrav = 0, nat = 7, ntyp = 3
/
ATOMIC_SPECIES
Ho 164.93 Ho.upf
Er 167.26 Er.upf
Mg 24.30 Mg.upf
CELL_PARAMETERS angstrom
-2.6836 2.6836 7.1338
2.6836 -2.6836 7.1338
2.6836 2.6836 -7.1338
ATOMIC_POSITIONS crystal
Ho 0.0000 0.0000 0.0000
Er 0.2494 0.2494 0.0000
Er 0.7506 0.7506 0.0000
Mg 0.1177 0.6177 0.5000
Mg 0.3823 0.8823 0.5000
Mg 0.6177 0.1177 0.5000
Mg 0.8823 0.3823 0.5000
! formation energy	0.152	eV/atom
! mass density	4821	kg/m³

---

! Ho5Er3Mg PBE optimized geometry; values from VASP
&SYSTEM
  ibrav = 0, nat = 18, ntyp = 3
/
ATOMIC_SPECIES
Ho 164.93 Ho.upf
Er 167.26 Er.upf
Mg 24.30 Mg.upf
CELL_PARAMETERS angstrom
7.9424 -4.4412 0.0000
7.9424 4.4412 0.0000
-6.9746 0.0000 8.9534
ATOMIC_POSITIONS crystal
Ho 0.0457 0.0457 0.3886
Ho 0.1599 0.1599 0.9759
Ho 0.1745 0.8255 0.0000
Ho 0.2046 0.5675 0.1723
Ho 0.4325 0.7954 0.8277
Ho 0.5675 0.2046 0.1723
Ho 0.7954 0.4325 0.8277
Ho 0.8255 0.1745 0.0000
Ho 0.8401 0.8401 0.0241
Ho 0.9543 0.9543 0.6115
Er 0.2337 0.2337 0.3024
Er 0.2436 0.2436 0.7927
Er 0.5000 0.5000 0.0000
Er 0.5000 0.5000 0.5000
Er 0.7564 0.7564 0.2073
Er 0.7663 0.7663 0.6976
Mg 0.3751 0.3751 0.6554
Mg 0.6249 0.6249 0.3446
! formation energy	0.491	eV/atom
! mass density	7102	kg/m³

---

! Ho6Er12Mg PBE optimized geometry; values from VASP
&SYSTEM
  ibrav = 0, nat = 19, ntyp = 3
/
ATOMIC_SPECIES
Ho 164.93 Ho.upf
Er 167.26 Er.upf
Mg 24.30 Mg.upf
CELL_PARAMETERS angstrom
6.4017 3.6960 4.2291
-6.4017 3.6960 4.2291
0.0000 -7.3921 4.2291
ATOMIC_POSITIONS crystal
Ho 0.0908 0.3630 0.3630
Ho 0.3630 0.0908 0.3630
Ho 0.3630 0.3630 0.0908
Ho 0.6370 0.6370 0.9092
Ho 0.6370 0.9092 0.6370
Ho 0.9092 0.6370 0.6370
Er 0.0911 0.0911 0.6660
Er 0.0911 0.6660 0.0911
Er 0.2385 0.5000 0.7615
Er 0.2385 0.7615 0.5000
Er 0.3340 0.9089 0.9089
Er 0.5000 0.2385 0.7615
Er 0.5000 0.7615 0.2385
Er 0.6660 0.0911 0.0911
Er 0.7615 0.2385 0.5000
Er 0.7615 0.5000 0.2385
Er 0.9089 0.3340 0.9089
Er 0.9089 0.9089 0.3340
Mg 0.5000 0.5000 0.5000
! formation energy	0.145	eV/atom
! mass density	8355	kg/m³

---

! HoEr4Mg PBE optimized geometry; values from VASP
&SYSTEM
  ibrav = 0, nat = 12, ntyp = 3
/
ATOMIC_SPECIES
Ho 164.93 Ho.upf
Er 167.26 Er.upf
Mg 24.30 Mg.upf
CELL_PARAMETERS angstrom
5.2102 -3.0272 0.0000
5.2102 3.0272 0.0000
-3.4672 0.0000 11.1819
ATOMIC_POSITIONS crystal
Ho 0.0000 0.5000 0.0000
Ho 0.5000 0.0000 0.5000
Er 0.1653 0.6704 0.4998
Er 0.2516 0.4150 0.7497
Er 0.3296 0.8347 0.0002
Er 0.4150 0.2516 0.2497
Er 0.5850 0.7484 0.7503
Er 0.6704 0.1653 0.9998
Er 0.7484 0.5850 0.2503
Er 0.8347 0.3296 0.5002
Mg 0.0816 0.9184 0.2500
Mg 0.9184 0.0816 0.7500
! formation energy	0.031	eV/atom
! mass density	8081	kg/m³

---

! Ho8Er3Mg PBE optimized geometry; values from VASP
&SYSTEM
  ibrav = 0, nat = 12, ntyp = 3
/
ATOMIC_SPECIES
Ho 164.93 Ho.upf
Er 167.26 Er.upf
Mg 24.30 Mg.upf
CELL_PARAMETERS angstrom
8.6955 0.0000 0.0000
0.0000 3.5439 0.0000
-2.8145 0.0000 11.8107
ATOMIC_POSITIONS crystal
Ho 0.0000 0.0000 0.0000
Ho 0.0003 0.0000 0.4914
Ho 0.0017 0.5000 0.7484
Ho 0.3300 0.0000 0.7208
Ho 0.3361 0.5000 0.4724
Ho 0.6583 0.5000 0.3604
Ho 0.6708 0.0000 0.1129
Ho 0.6709 0.0000 0.6103
Er 0.3257 0.0000 0.2231
Er 0.3335 0.5000 0.9743
Er 0.6661 0.5000 0.8609
Mg 0.0010 0.5000 0.2493
! formation energy	0.003	eV/atom
! mass density	8420	kg/m³

---

Question: Look up the mass density of the twelfth one.
Answer: 8420 kg/m³

---

Question: Look up the formation energy of the eleventh one.
Answer: 0.031 eV/atom

---

Question: Which of these has the highest formation energy?
Answer: Ho5Er3Mg

---

Question: Number 12 is which compound?
Answer: Ho8Er3Mg